Entry 1:
## SnAuI6 (PBE)

Data for crystalline SnAuI6 at its relaxed geometry.

abc: 8.779 6.734 8.302
angles: 96.57 100.11 49.32
Atoms (fractional coordinates):
I: 0.304 0.639 0.729
I: 0.339 0.000 0.220
I: 0.057 0.639 0.271
I: 0.696 0.361 0.271
Sn: 0.000 0.000 0.000
I: 0.943 0.361 0.729
I: 0.661 0.000 0.780
Au: 0.000 0.000 0.500

Summary:
total moment = 0.00 Bohr magnetons per cell
energy above the lowest structure with this stoichiometry = 38 meV per atom
symmetry = No. 12



Entry 2:
## Pm2YPt2 (PBE)

Data for crystalline Pm2YPt2 at its relaxed geometry.

abc: 7.706 7.706 5.369
angles: 110.36 110.36 92.11
Atoms (fractional coordinates):
Y: 0.120 0.380 0.250
Pt: 0.154 0.346 0.750
Pm: 0.435 0.714 0.073
Pm: 0.786 0.065 0.427
Pm: 0.214 0.935 0.573
Y: 0.880 0.620 0.750
Pm: 0.565 0.286 0.927
Pt: 0.608 0.892 0.750
Pt: 0.846 0.654 0.250
Pt: 0.392 0.108 0.250

Summary:
total moment = 0.00 Bohr magnetons per cell
energy above the lowest structure with this stoichiometry = 172 meV per atom
ΔE_f = -392 kJ/mol of formula units
symmetry = No. 15